# 1
A relaxed structure of BaNa2SrLi, computed with PBE.

Cell lengths 5.9716, 5.9716, 6.4016 Å; angles 90.00, 90.00, 90.00 degrees
Closest atoms and distances in Å follow each position.
Space group P4/mmm (No. 123)
Symmetry-distinct sites (fractional):
Ba1 0.0000 0.0000 0.0000 (multiplicity 1)  4 Sr 4.22, 8 Na 4.38
Na1 0.0000 0.5000 0.5000 (multiplicity 2)  2 Li 2.99
Sr1 0.5000 0.5000 0.0000 (multiplicity 1)  2 Li 3.20
Li1 0.5000 0.5000 0.5000 (multiplicity 1)  4 Na 2.99, 2 Sr 3.20

Properties
Energy relative to the elements = 148 meV/atom

# 2
A relaxed structure of BaNa2SrLi, computed with PBE.

Cell lengths 5.9899, 5.9899, 6.5296 Å; angles 90.00, 90.00, 90.00 degrees
Closest atoms and distances in Å follow each position.
Space group P4/mmm (No. 123)
Symmetry-distinct sites (fractional):
Ba1 0.0000 0.0000 0.0000 (multiplicity 1)  2 Li 3.26
Na1 0.0000 0.5000 0.5000 (multiplicity 2)  2 Li 2.99
Sr1 0.5000 0.5000 0.0000 (multiplicity 1)  4 Ba 4.24, 8 Na 4.43
Li1 0.0000 0.0000 0.5000 (multiplicity 1)  4 Na 2.99, 2 Ba 3.26

Properties
Energy relative to the elements = 188 meV/atom

# 3
A relaxed structure of Ba2NaSrLi, computed with PBE.

Cell lengths 6.6241, 6.6241, 6.5111 Å; angles 90.00, 90.00, 90.00 degrees
Closest atoms and distances in Å follow each position.
Space group P4/mmm (No. 123)
Symmetry-distinct sites (fractional):
Ba1 0.0000 0.5000 0.0000 (multiplicity 2)  2 Li 3.31
Na1 0.0000 0.0000 0.5000 (multiplicity 1)  8 Ba 4.64, 4 Sr 4.68
Sr1 0.5000 0.5000 0.5000 (multiplicity 1)  2 Li 3.26
Li1 0.5000 0.5000 0.0000 (multiplicity 1)  2 Sr 3.26, 4 Ba 3.31

Properties
Energy relative to the elements = 178 meV/atom

# 4
A relaxed structure of BaNaLi2Tl4, computed with PBE.

Cell lengths 4.9718, 4.9718, 32.4085 Å; angles 90.00, 90.00, 120.00 degrees
Closest atoms and distances in Å follow each position.
Space group R-3m (No. 166, hexagonal axes)
Symmetry-distinct sites (fractional):
Ba1 0.0000 0.0000 0.0000 (multiplicity 3)  8 Tl 3.62-3.82
Na1 0.0000 0.0000 0.5000 (multiplicity 3)  8 Tl 3.20-3.28, 6 Li 3.47
Li1 0.0000 0.0000 0.2271 (multiplicity 6)  6 Tl 2.89-3.13
Tl1 0.0000 0.0000 0.1178 (multiplicity 6)  3 Li 2.89
Tl2 0.0000 0.0000 0.4011 (multiplicity 6)  3 Li 3.13, 1 Na 3.20, 3 Tl 3.30

Properties
Energy relative to the elements = -226 meV/atom